# BaBe2GeAs4, optimized geometry, DFT PBE
# **ΔH_f (0 K)**: -0.226 eV per atom
# **M_tot**: 0.00 Bohr magnetons per cell
# **DOS(E_F)**: 0.557 states/eV/cell
data_BaBe2GeAs4
_chemical_formula_sum 'Ba2 Be4 Ge2 As8'
_cell_length_a 5.379
_cell_length_b 5.379
_cell_length_c 13.710
_cell_angle_alpha 90.00
_cell_angle_beta 90.00
_cell_angle_gamma 90.00
_space_group_name_H-M_alt 'I -4 2 m'
_space_group_IT_number 121
_space_group_name_Hall 'I -4 2'
loop_
_atom_site_label
_atom_site_fract_x
_atom_site_fract_y
_atom_site_fract_z
Ba1 0.000 0.000 0.000
Be1 0.000 0.500 0.250
Ge1 0.000 0.000 0.500
As1 0.162 0.162 0.324